Entry w
DFT (PBE) results for CsCd3Pt after structural relaxation. Values from VASP.

```
&SYSTEM
  ibrav = 0, nat = 10, ntyp = 3
/
ATOMIC_SPECIES
Cd 112.41 Cd.upf
Pt 195.08 Pt.upf
Cs 132.91 Cs.upf
CELL_PARAMETERS angstrom
22.648 0.000 -0.176
8.414 2.441 -2.959
-8.414 2.441 2.959
ATOMIC_POSITIONS angstrom
Cd 18.938 2.441 -0.626
Cd 9.792 2.441 -2.342
Cd 12.568 2.441 -0.890
Cd 12.856 2.441 2.165
Cd 10.080 2.441 0.714
Cd 3.710 2.441 0.450
Pt 27.265 2.441 -2.368
Pt -4.616 2.441 2.191
Cs 23.823 2.441 -2.602
Cs -1.175 2.441 2.425
```

- magnetization (μB per atom) = 0.00
- V (Å³/atom) = 31.99
- SG = C2/m
- density (g/cm³) = 6.9


Entry x
DFT (PBE) results for CsCd3Pt after structural relaxation. Values from VASP.

```
&SYSTEM
  ibrav = 0, nat = 5, ntyp = 3
/
ATOMIC_SPECIES
Pt 195.08 Pt.upf
Cd 112.41 Cd.upf
Cs 132.91 Cs.upf
CELL_PARAMETERS angstrom
4.043 0.000 0.000
0.000 4.043 0.000
0.000 0.000 9.317
ATOMIC_POSITIONS angstrom
Pt 2.022 2.022 6.124
Cd 0.000 0.000 6.444
Cd 2.022 0.000 3.985
Cd 0.000 2.022 3.985
Cs 0.000 0.000 0.553
```

- magnetization (μB per atom) = 0.00
- V (Å³/atom) = 30.46
- SG = P4mm
- density (g/cm³) = 7.3


Which structure above is the least stable one? entry x is the least stable one.